# 1
Ta2AlTl | Alexandria | PBE | optimized geometry; energy relative to the elements = 0.31 eV/atom; SG = No. 99; total DFT energy (no corrections) = -7.15 eV per atom; theoretical density = 12.49 g/cm³; magnetization = 0.000 μB per atom
1.0
2.923 0.000 0.000
0.000 2.923 0.000
0.000 0.000 9.233
Tl Al Ta
1 1 2
Direct
0.000 0.000 0.500 Tl
0.500 0.500 0.779 Al
0.000 0.000 0.989 Ta
0.500 0.500 0.232 Ta


# 2
ErSi2Pd6 | Alexandria | PBE | optimized geometry; ΔE_f (raw) = -0.605 eV per atom; SG = No. 191; total DFT energy (no corrections) = -5.78 eV per atom; theoretical density = 8.53 g/cm³; magnetization = 0.000 μB per atom
1.0
5.541 0.000 0.000
-2.770 4.799 0.000
0.000 0.000 6.314
Er Si Pd
1 2 6
Direct
0.000 0.000 0.000 Er
0.333 0.667 0.500 Si
0.667 0.333 0.500 Si
0.500 0.000 0.217 Pd
0.500 0.500 0.217 Pd
0.000 0.500 0.217 Pd
0.500 0.500 0.783 Pd
0.000 0.500 0.783 Pd
0.500 0.000 0.783 Pd


# 3
Y3Ho4 | Alexandria | PBE | optimized geometry; energy relative to the elements = 0.13 eV/atom; SG = No. 12; total DFT energy (no corrections) = -5.25 eV per atom; theoretical density = 6.84 g/cm³; magnetization = 0.000 μB per atom; energy above the most stable polymorph in this dataset = 0.04 eV per formula unit
1.0
-2.129 -2.439 -1.284
-2.095 -2.410 8.052
-3.339 7.512 -4.012
Y Ho
3 4
Direct
0.000 0.000 0.000 Y
0.222 0.294 0.445 Y
0.778 0.706 0.555 Y
0.078 0.457 0.156 Ho
0.922 0.543 0.844 Ho
0.365 0.139 0.731 Ho
0.635 0.861 0.269 Ho